# NaFe2F8 GGA+U optimized geometry
# Mass density, g/cm³: 3.32
# Energy above the most stable polymorph in this dataset, meV per atom: 21.3
# Total magnetization, μB per formula unit: 11.03
# Raw total energy, eV per atom: -4.70
data_NaFe2F8
_chemical_formula_sum 'Na1 Fe2 F8'
_cell_length_a 4.907
_cell_length_b 6.650
_cell_length_c 6.650
_cell_angle_alpha 48.54
_cell_angle_beta 115.39
_cell_angle_gamma 115.39
_space_group_name_H-M_alt 'P 1'
_space_group_IT_number 1
loop_
_space_group_symop_operation_xyz
'x,y,z'
loop_
_atom_site_label
_atom_site_type_symbol
_atom_site_fract_x
_atom_site_fract_y
_atom_site_fract_z
_atom_site_occupancy
F1 F 0.575 0.804 0.804 1
Fe1 Fe 0.143 0.730 0.730 1
F2 F 0.425 0.196 0.196 1
F3 F 0.157 0.098 0.625 1
F4 F 0.791 0.422 0.422 1
F5 F 0.843 0.375 0.902 1
F6 F 0.843 0.902 0.375 1
F7 F 0.209 0.578 0.578 1
Fe2 Fe 0.857 0.270 0.270 1
Na1 Na 0.000 0.000 0.000 1
F8 F 0.157 0.625 0.098 1